1.
DFT (meta-GGA SCAN) results for a crystal of BaAl2As relaxed with PBEsol.

```
BaAl2As
1.0
2.2720 1.3117 5.9176
-2.2720 1.3117 5.9176
0.0000 -2.6234 5.9176
Ba Al As
1 2 1
Direct
0.0000 0.0000 0.0000
0.2066 0.2066 0.2066
0.7934 0.7934 0.7934
0.5000 0.5000 0.5000
```

Computed properties:
ΔH_f (0 K) = -0.2215 eV per atom
ρ = 4.178 Mg/m³
N(E_F) = 3.11 states/eV/f.u.

2.
DFT (meta-GGA SCAN) results for a crystal of BaAl2As relaxed with PBEsol.

```
BaAl2As
1.0
3.6056 0.0000 0.0000
0.0000 3.6056 0.0000
0.0000 0.0000 7.3601
Ba Al As
1 2 1
Direct
0.0000 0.0000 0.0000
0.5000 0.5000 0.3253
0.5000 0.5000 0.6747
0.0000 0.0000 0.5000
```

Computed properties:
ΔH_f (0 K) = -0.1705 eV per atom
ρ = 4.620 Mg/m³
N(E_F) = 1.31 states/eV/f.u.

3.
DFT (meta-GGA SCAN) results for a crystal of Ba3AlAs3 relaxed with PBEsol.

```
Ba3AlAs3
1.0
9.8976 -3.4211 0.0000
9.8976 3.4211 0.0000
0.0000 0.0000 13.2637
Ba Al As
12 4 12
Direct
0.0121 0.6368 0.1300
0.1368 0.5121 0.6300
0.1693 0.8307 0.8470
0.3307 0.6693 0.3470
0.3632 0.9879 0.1300
0.4879 0.8632 0.6300
0.5121 0.1368 0.3700
0.6368 0.0121 0.8700
0.6693 0.3307 0.6530
0.8307 0.1693 0.1530
0.8632 0.4879 0.3700
0.9879 0.3632 0.8700
0.0828 0.0828 0.5000
0.4172 0.4172 0.0000
0.5828 0.5828 0.0000
0.9172 0.9172 0.5000
0.0348 0.6516 0.3814
0.1516 0.5348 0.8814
0.2051 0.7949 0.5965
0.2949 0.7051 0.0965
0.3484 0.9652 0.3814
0.4652 0.8484 0.8814
0.5348 0.1516 0.1186
0.6516 0.0348 0.6186
0.7051 0.2949 0.9035
0.7949 0.2051 0.4035
0.8484 0.4652 0.1186
0.9652 0.3484 0.6186
```

Computed properties:
ΔH_f (0 K) = -1.2077 eV per atom
ρ = 4.908 Mg/m³

ΔH_f (0 K) of number 2 (BaAl2As)? -0.1705 eV per atom

Repeat the second record exactly.
DFT (meta-GGA SCAN) results for a crystal of BaAl2As relaxed with PBEsol.

```
BaAl2As
1.0
3.6056 0.0000 0.0000
0.0000 3.6056 0.0000
0.0000 0.0000 7.3601
Ba Al As
1 2 1
Direct
0.0000 0.0000 0.0000
0.5000 0.5000 0.3253
0.5000 0.5000 0.6747
0.0000 0.0000 0.5000
```

Computed properties:
ΔH_f (0 K) = -0.1705 eV per atom
ρ = 4.620 Mg/m³
N(E_F) = 1.31 states/eV/f.u.

Copy entry 3 word for word.
DFT (meta-GGA SCAN) results for a crystal of Ba3AlAs3 relaxed with PBEsol.

```
Ba3AlAs3
1.0
9.8976 -3.4211 0.0000
9.8976 3.4211 0.0000
0.0000 0.0000 13.2637
Ba Al As
12 4 12
Direct
0.0121 0.6368 0.1300
0.1368 0.5121 0.6300
0.1693 0.8307 0.8470
0.3307 0.6693 0.3470
0.3632 0.9879 0.1300
0.4879 0.8632 0.6300
0.5121 0.1368 0.3700
0.6368 0.0121 0.8700
0.6693 0.3307 0.6530
0.8307 0.1693 0.1530
0.8632 0.4879 0.3700
0.9879 0.3632 0.8700
0.0828 0.0828 0.5000
0.4172 0.4172 0.0000
0.5828 0.5828 0.0000
0.9172 0.9172 0.5000
0.0348 0.6516 0.3814
0.1516 0.5348 0.8814
0.2051 0.7949 0.5965
0.2949 0.7051 0.0965
0.3484 0.9652 0.3814
0.4652 0.8484 0.8814
0.5348 0.1516 0.1186
0.6516 0.0348 0.6186
0.7051 0.2949 0.9035
0.7949 0.2051 0.4035
0.8484 0.4652 0.1186
0.9652 0.3484 0.6186
```

Computed properties:
ΔH_f (0 K) = -1.2077 eV per atom
ρ = 4.908 Mg/m³